Ac2ScMoO6 after structural relaxation. Source: Alexandria via LeMat-Bulk, functional GGA+U.

Structure (POSCAR):
```
Ac2ScMoO6
1.0
5.847 0.000 0.000
0.000 5.933 0.000
-5.838 0.000 8.300
Ac Sc Mo O
4 2 2 12
Cartesian
-0.050 0.242 2.077 Ac
-2.968 2.725 6.227 Ac
2.978 3.208 2.073 Ac
0.059 5.691 6.223 Ac
-2.919 0.000 4.150 Sc
0.000 2.967 0.000 Sc
2.924 0.000 0.000 Mo
0.005 2.967 4.150 Mo
-4.634 1.258 7.907 O
-1.715 1.709 3.757 O
-4.152 4.191 7.925 O
-1.233 4.708 3.775 O
-2.411 0.162 6.200 O
0.508 2.805 2.050 O
-0.498 3.128 6.251 O
2.421 5.771 2.101 O
1.242 1.225 4.526 O
4.161 1.742 0.375 O
1.725 4.225 4.544 O
4.644 4.675 0.393 O
```

## Properties
Space-group type: P2_1/c
Fermi-level density of states (states/eV/atom): 0.0000
Total energy (Ry per atom): -0.602